The following is a DFT calculation (GGA-PBEsol) of an optimized crystal structure of TaAs3.

abc: 3.928 3.928 5.258
angles: 111.93 111.93 90.00
Element x y z (fractional)
As 0.250 0.750 0.500
Ta 0.000 0.000 0.000
As 0.750 0.250 0.500
As 0.500 0.500 0.000

Space-group type = I4/mmm, No. 139
Size of the total moment = 0.000 μB per formula unit
Formation enthalpy at 0 K = 0.229 eV/atom